Entry 1:
A plane-wave DFT calculation with PBE was carried out for a geometry-optimized ZnH3Se structure.

CIF file:
```
data_ZnH3Se
_symmetry_space_group_name_H-M 'P 1'
_symmetry_Int_Tables_number 1
_cell_length_a 3.654
_cell_length_b 3.654
_cell_length_c 3.654
_cell_angle_alpha 90.00
_cell_angle_beta 90.00
_cell_angle_gamma 90.00
loop_
_symmetry_equiv_pos_as_xyz
'x,y,z'
loop_
_atom_site_label
_atom_site_fract_x
_atom_site_fract_y
_atom_site_fract_z
H1 0.000 0.500 0.000
H2 0.000 0.000 0.500
H3 0.500 0.000 0.000
Zn1 0.000 0.000 0.000
Se1 0.500 0.500 0.500
```

Output
Space group ... Pm-3m, No. 221
Calculated volume ... 49 Å³/cell
Crystal system ... cubic
E above lowest polymorph ... 0.164 eV/atom

---

Entry 2:
A plane-wave DFT calculation with PBE was carried out for a geometry-optimized LaBeAu2 structure.

CIF file:
```
data_LaBeAu2
_symmetry_space_group_name_H-M 'P 1'
_symmetry_Int_Tables_number 1
_cell_length_a 4.894
_cell_length_b 4.894
_cell_length_c 4.894
_cell_angle_alpha 60.00
_cell_angle_beta 60.00
_cell_angle_gamma 60.00
loop_
_symmetry_equiv_pos_as_xyz
'x,y,z'
loop_
_atom_site_label
_atom_site_fract_x
_atom_site_fract_y
_atom_site_fract_z
Be1 0.500 0.500 0.500
Au1 0.000 0.000 0.000
Au2 0.750 0.750 0.750
La1 0.250 0.250 0.250
```

Output
Space group ... F-43m, No. 216
Calculated volume ... 83 Å³/cell
ΔE_f ... -0.195 eV/atom
Crystal system ... cubic

---

Entry 3:
A plane-wave DFT calculation with PBE was carried out for a geometry-optimized P2OsO8 structure.

CIF file:
```
data_P2OsO8
_symmetry_space_group_name_H-M 'P 1'
_symmetry_Int_Tables_number 1
_cell_length_a 4.672
_cell_length_b 6.911
_cell_length_c 6.911
_cell_angle_alpha 48.11
_cell_angle_beta 85.39
_cell_angle_gamma 85.39
loop_
_symmetry_equiv_pos_as_xyz
'x,y,z'
loop_
_atom_site_label
_atom_site_fract_x
_atom_site_fract_y
_atom_site_fract_z
P1 0.371 0.152 0.152
P2 0.629 0.848 0.848
Os1 0.000 0.000 0.000
O1 0.769 0.123 0.703
O2 0.231 0.297 0.877
O3 0.707 0.110 0.110
O4 0.293 0.890 0.890
O5 0.769 0.703 0.123
O6 0.231 0.877 0.297
O7 0.327 0.269 0.269
O8 0.673 0.731 0.731
```

Output
Formation energy without anion corrections ... -1.4405 eV/atom
Space group ... C2/m, No. 12
Calculated volume ... 165 Å³/cell
Crystal system ... monoclinic

---

Entry 4:
A plane-wave DFT calculation with PBE was carried out for a geometry-optimized PmInCo structure.

CIF file:
```
data_PmInCo
_symmetry_space_group_name_H-M 'P 1'
_symmetry_Int_Tables_number 1
_cell_length_a 4.226
_cell_length_b 5.161
_cell_length_c 6.531
_cell_angle_alpha 101.56
_cell_angle_beta 108.88
_cell_angle_gamma 90.00
loop_
_symmetry_equiv_pos_as_xyz
'x,y,z'
loop_
_atom_site_label
_atom_site_fract_x
_atom_site_fract_y
_atom_site_fract_z
Pm1 0.132 0.317 0.264
Pm2 0.868 0.683 0.736
In1 0.416 0.211 0.833
In2 0.584 0.789 0.167
Co1 0.219 0.884 0.438
Co2 0.781 0.116 0.562
```

Output
Space group ... C2/m, No. 12
Calculated volume ... 132 Å³/cell
ΔE_f ... -0.288 eV/atom
Crystal system ... monoclinic
E above lowest polymorph ... 0.000 eV/atom

---

Q: Among the records above, which one has the lowest calculated volume?
A: ZnH3Se

---

Q: calculated volume of number 1 (ZnH3Se)?
A: 49 Å³/cell

---

Q: The lowest calculated volume belongs to which entry?
A: ZnH3Se

---

Q: The lowest calculated volume belongs to which entry?
A: ZnH3Se